# 1
YSiGeCl2 | PBE | optimized geometry

Output
Uncorrected energy ... -4.2198 eV per atom
Symmetry ... No. 123

Cell lengths 4.8709, 5.1935, 4.8709 Å; angles 90.00, 90.00, 90.00 degrees
With the nearest neighbours (Å) after each atom.
Fractional coordinates of all 5 atoms:
1 Cl 0.0000 0.0000 0.5000  2 Ge 2.44
2 Ge 0.0000 0.0000 0.0000  4 Cl 2.44, 2 Si 2.60
3 Si 0.0000 0.5000 0.0000  2 Ge 2.60
4 Cl 0.5000 0.0000 0.0000  2 Ge 2.44
5 Y 0.5000 0.5000 0.5000  4 Si 3.44, 8 Cl 3.56


# 2
SmGeCl | PBE | optimized geometry

Output
Uncorrected energy ... -4.9317 eV per atom
Symmetry ... No. 12

Cell lengths 3.9958, 5.2196, 8.0001 Å; angles 108.97, 104.46, 89.99 degrees
With the nearest neighbours (Å) after each atom.
Fractional coordinates of all 6 atoms:
1 Ge 0.4999 0.7499 0.9999  2 Ge 2.61
2 Ge 0.5001 0.2501 0.0001  2 Ge 2.61
3 Sm 0.8677 0.3676 0.7353  4 Cl 2.91-2.94, 4 Ge 3.07
4 Cl 0.2204 0.2202 0.4407  4 Sm 2.91-2.94
5 Sm 0.1323 0.6324 0.2647  4 Cl 2.91-2.94, 4 Ge 3.07
6 Cl 0.7796 0.7798 0.5593  4 Sm 2.91-2.94


# 3
Sm6GeCl8 | PBE | optimized geometry

Output
Uncorrected energy ... -4.8843 eV per atom
Symmetry ... No. 148

Cell lengths 7.0156, 7.0156, 10.8709 Å; angles 71.18, 71.18, 60.00 degrees
With the nearest neighbours (Å) after each atom.
Fractional coordinates of all 15 atoms:
1 Cl 0.6666 0.6666 0.0000  6 Sm 2.86
2 Sm 0.0530 0.3769 0.8409  1 Ge 2.78, 5 Cl 2.83-2.92
3 Sm 0.9470 0.6231 0.1591  1 Ge 2.78, 5 Cl 2.83-2.92
4 Cl 0.5602 0.8923 0.3230  3 Sm 2.83-2.92
5 Cl 0.8923 0.2246 0.3230  3 Sm 2.83-2.92
6 Sm 0.2708 0.9470 0.1591  1 Ge 2.78, 5 Cl 2.83-2.92
7 Ge 0.0000 0.0000 0.0000  6 Sm 2.78
8 Cl 0.7754 0.4398 0.6770  3 Sm 2.83-2.92
9 Sm 0.6231 0.2708 0.1591  1 Ge 2.78, 5 Cl 2.83-2.92
10 Sm 0.3769 0.7292 0.8409  1 Ge 2.78, 5 Cl 2.83-2.92
11 Cl 0.2246 0.5602 0.3230  3 Sm 2.83-2.92
12 Sm 0.7292 0.0530 0.8409  1 Ge 2.78, 5 Cl 2.83-2.92
13 Cl 0.4398 0.1077 0.6770  3 Sm 2.83-2.92
14 Cl 0.3334 0.3334 0.0000  6 Sm 2.86
15 Cl 0.1077 0.7754 0.6770  3 Sm 2.83-2.92